The following is a DFT calculation (GGA-PBE) of crystalline Si2Ni2Os at its relaxed geometry.

The space group is P4/mbm (No. 127) and the conventional cell measures 6.459, 6.459 and 2.896 Å, with angles of 90.00, 90.00 and 90.00 degrees. The inequivalent atoms are Si at (0.148, 0.352, 0.000), Ni at (0.143, 0.643, 0.500) and Os at (0.000, 0.000, 0.000).

The value obtained for the formation energy from raw total energies is -0.290 eV per atom. The value obtained for the density is 10.00 g cm⁻³. As for the total magnetization: 0.00 μB/cell.